[1]
Here is MgWCl after structural relaxation from the Alexandria database. Energies are from PBE.

Cell lengths 4.8238, 4.8238, 4.8238 Å; angles 60.00, 60.00, 60.00 degrees
With the nearest neighbours (Å) after each atom.
Fractional positions:
Cl  0.0000  0.0000  0.0000  4 W 2.95
Mg  0.5000  0.5000  0.5000  4 W 2.95
W  0.7500  0.7500  0.7500  4 Cl 2.95, 4 Mg 2.95

Offset from the most stable computed form ... 1247.1 meV per atom
Density of states at the Fermi level ... 0.3 states/eV/f.u.
Calculated total energy ... -4.024 eV/atom
Energy relative to the elements, uncorrected ... 1440 meV per atom

***

[2]
Here is Mg2WCl after structural relaxation from the Alexandria database. Energies are from PBE.

Cell lengths 4.8573, 4.8573, 4.8573 Å; angles 60.00, 60.00, 60.00 degrees
With the nearest neighbours (Å) after each atom.
Fractional positions:
Mg  0.2500  0.2500  0.2500  4 W 2.97, 4 Cl 2.97
Mg  0.7500  0.7500  0.7500  4 W 2.97, 4 Cl 2.97
W  0.5000  0.5000  0.5000  8 Mg 2.97
Cl  0.0000  0.0000  0.0000  8 Mg 2.97

Offset from the most stable computed form ... 1156.2 meV per atom
Density of states at the Fermi level ... 6.6 states/eV/f.u.
Calculated total energy ... -3.491 eV/atom
Energy relative to the elements, uncorrected ... 1006 meV per atom

***

[3]
Here is Mg3WCl after structural relaxation from the Alexandria database. Energies are from PBE.

Cell lengths 4.7191, 4.7191, 4.7191 Å; angles 90.00, 90.00, 90.00 degrees
With the nearest neighbours (Å) after each atom.
Fractional positions:
Mg  0.0000  0.5000  0.0000  2 Cl 2.36
Mg  0.0000  0.0000  0.5000  2 Cl 2.36
Mg  0.5000  0.0000  0.0000  2 Cl 2.36
W  0.5000  0.5000  0.5000  12 Mg 3.34
Cl  0.0000  0.0000  0.0000  6 Mg 2.36

Offset from the most stable computed form ... 0.0 meV per atom
Density of states at the Fermi level ... 3.7 states/eV/f.u.
Calculated total energy ... -3.104 eV/atom
Energy relative to the elements, uncorrected ... 812 meV per atom

***

[4]
Here is MgW2Cl2 after structural relaxation from the Alexandria database. Energies are from PBE.

Cell lengths 4.2934, 4.2934, 6.3629 Å; angles 70.28, 70.28, 90.00 degrees
With the nearest neighbours (Å) after each atom.
Fractional positions:
Mg  0.0000  0.0000  0.0000  8 W 3.24, 8 Cl 3.53
W  0.3998  0.3998  0.2004  1 W 2.24
W  0.6002  0.6002  0.7996  1 W 2.24
Cl  0.7500  0.2500  0.5000  4 W 2.72, 4 Cl 3.04
Cl  0.2500  0.7500  0.5000  4 W 2.72, 4 Cl 3.04

Offset from the most stable computed form ... 0.0 meV per atom
Density of states at the Fermi level ... 3.2 states/eV/f.u.
Calculated total energy ... -5.502 eV/atom
Energy relative to the elements, uncorrected ... 737 meV per atom